[1]
Density functional theory data (PBE) for an optimized crystal structure of TlNiAs2.

```
TlNiAs2
1.0
6.459 0.185 0.570
-2.310 4.109 0.098
1.839 1.027 3.162
Ni Tl As
1 1 2
Direct
0.000 0.500 0.500
0.500 0.500 0.000
0.500 0.000 0.500
0.000 0.000 0.000
```

Computed properties:
The calculation puts the calculated volume at 78.99 Å³/cell. The space group is No. 12. The total energy comes out at -15.72 eV for the cell shown. For the formation energy, the calculation gives 430.7 meV per atom.

[2]
Density functional theory data (PBE) for an optimized crystal structure of TlNi2As.

```
TlNi2As
1.0
3.696 0.000 0.000
0.000 3.155 0.005
0.000 1.531 5.924
Ni As Tl
2 1 1
Direct
0.500 0.080 0.217
0.000 0.227 0.915
0.500 0.724 0.920
0.000 0.469 0.448
```

Computed properties:
The calculation puts the calculated volume at 69.05 Å³/cell. The space group is No. 6. The total energy comes out at -18.44 eV for the cell shown. For the formation energy, the calculation gives 33.9 meV per atom.

[3]
Density functional theory data (PBE) for an optimized crystal structure of TlNiAs2.

```
TlNiAs2
1.0
-5.271 -1.850 -1.690
2.078 -5.426 -0.541
-2.992 -4.725 4.429
Tl As Ni
2 4 2
Direct
0.000 0.000 0.000
0.750 0.250 0.500
0.875 0.788 0.750
0.212 0.625 0.250
0.538 0.125 0.250
0.375 0.462 0.750
0.250 0.750 0.500
0.500 0.500 0.000
```

Computed properties:
The calculation puts the calculated volume at 198.18 Å³/cell. The space group is No. 122. The total energy comes out at -34.36 eV for the cell shown. For the formation energy, the calculation gives 66.2 meV per atom.

[4]
Density functional theory data (PBE) for an optimized crystal structure of TlNiAs2.

```
TlNiAs2
1.0
-2.948 6.303 1.332
-5.549 4.382 -0.440
-5.017 3.868 3.173
Ni Tl As
1 1 2
Direct
0.515 0.515 0.515
0.761 0.761 0.761
0.985 0.985 0.985
0.240 0.240 0.240
```

Computed properties:
The calculation puts the calculated volume at 79.58 Å³/cell. The space group is No. 160. The total energy comes out at -16.70 eV for the cell shown. For the formation energy, the calculation gives 186.0 meV per atom.

[5]
Density functional theory data (PBE) for an optimized crystal structure of TlNi2As.

```
TlNi2As
1.0
-5.398 0.786 -2.949
-4.444 -3.032 -3.084
-6.012 -1.509 0.192
As Ni Tl
1 2 1
Direct
0.303 0.303 0.303
0.002 0.002 0.002
0.706 0.706 0.706
0.489 0.489 0.489
```

Computed properties:
The calculation puts the calculated volume at 77.50 Å³/cell. The space group is No. 160. The total energy comes out at -18.27 eV for the cell shown. For the formation energy, the calculation gives 78.3 meV per atom.

[6]
Density functional theory data (PBE) for an optimized crystal structure of TlNiAs2.

```
TlNiAs2
1.0
2.175 1.874 3.816
0.237 4.740 0.525
-2.573 2.158 3.395
As Ni Tl
2 1 1
Direct
0.750 0.750 0.750
0.250 0.250 0.250
0.000 0.000 0.000
0.500 0.500 0.500
```

Computed properties:
The calculation puts the calculated volume at 76.99 Å³/cell. The space group is No. 225. The total energy comes out at -15.34 eV for the cell shown. For the formation energy, the calculation gives 526.1 meV per atom.